[1]
# PBE Sr2Li2Rh3, relaxed
# Calculated formation energy, kJ/mol of atoms: -12.8
# Total DFT energy (no corrections), eV/atom: -4.310
data_Sr2Li2Rh3
_chemical_formula_sum 'Sr4 Li4 Rh6'
_symmetry_space_group_name_H-M 'C 1 2/m 1'
_symmetry_Int_Tables_number 12
_symmetry_space_group_name_Hall '-C 2y'
_cell_length_a 10.720
_cell_length_b 4.635
_cell_length_c 7.045
_cell_angle_alpha 90.00
_cell_angle_beta 120.38
_cell_angle_gamma 90.00
loop_
_atom_site_label
_atom_site_type_symbol
_atom_site_fract_x
_atom_site_fract_y
_atom_site_fract_z
_atom_site_occupancy
Sr1 Sr 0.170 0.000 0.260 1
Li1 Li 0.129 0.000 0.761 1
Rh1 Rh 0.000 0.500 0.500 1
Rh2 Rh 0.058 0.500 0.888 1

***

[2]
# PBE Sr2Li5Rh4, relaxed
# Calculated formation energy, kJ/mol of atoms: -5.3
# Total DFT energy (no corrections), eV/atom: -3.904
data_Sr2Li5Rh4
_chemical_formula_sum 'Sr4 Li10 Rh8'
_symmetry_space_group_name_H-M 'C 1 2/m 1'
_symmetry_Int_Tables_number 12
_symmetry_space_group_name_Hall '-C 2y'
_cell_length_a 12.454
_cell_length_b 5.272
_cell_length_c 8.409
_cell_angle_alpha 90.00
_cell_angle_beta 126.21
_cell_angle_gamma 90.00
loop_
_atom_site_label
_atom_site_type_symbol
_atom_site_fract_x
_atom_site_fract_y
_atom_site_fract_z
_atom_site_occupancy
Sr1 Sr 0.227 0.000 0.297 1
Li1 Li 0.000 0.500 0.000 1
Li2 Li 0.037 0.253 0.737 1
Rh1 Rh 0.128 0.000 0.588 1
Rh2 Rh 0.233 0.500 0.036 1

***

[3]
# PBE SrLiRh2, relaxed
# Calculated formation energy, kJ/mol of atoms: 7.4
# Total DFT energy (no corrections), eV/atom: -4.498
data_SrLiRh2
_chemical_formula_sum 'Sr2 Li2 Rh4'
_symmetry_space_group_name_H-M 'I m m m'
_symmetry_Int_Tables_number 71
_symmetry_space_group_name_Hall '-I 2 2'
_cell_length_a 3.171
_cell_length_b 4.858
_cell_length_c 9.112
_cell_angle_alpha 90.00
_cell_angle_beta 90.00
_cell_angle_gamma 90.00
loop_
_atom_site_label
_atom_site_type_symbol
_atom_site_fract_x
_atom_site_fract_y
_atom_site_fract_z
_atom_site_occupancy
Sr1 Sr 0.000 0.000 0.000 1
Li1 Li 0.000 0.000 0.500 1
Rh1 Rh 0.000 0.500 0.231 1

***

[4]
# PBE SrLi2Rh, relaxed
# Calculated formation energy, kJ/mol of atoms: 12.5
# Total DFT energy (no corrections), eV/atom: -3.086
data_SrLi2Rh
_chemical_formula_sum 'Sr2 Li4 Rh2'
_symmetry_space_group_name_H-M 'C 1 2/m 1'
_symmetry_Int_Tables_number 12
_symmetry_space_group_name_Hall '-C 2y'
_cell_length_a 5.775
_cell_length_b 10.360
_cell_length_c 3.505
_cell_angle_alpha 90.00
_cell_angle_beta 123.86
_cell_angle_gamma 90.00
loop_
_atom_site_label
_atom_site_type_symbol
_atom_site_fract_x
_atom_site_fract_y
_atom_site_fract_z
_atom_site_occupancy
Sr1 Sr 0.000 0.000 0.000 1
Li1 Li 0.250 0.250 0.500 1
Rh1 Rh 0.000 0.500 0.000 1

***

[5]
# PBE SrLi3Rh, relaxed
# Calculated formation energy, kJ/mol of atoms: 124.0
# Total DFT energy (no corrections), eV/atom: -1.670
data_SrLi3Rh
_chemical_formula_sum 'Sr1 Li3 Rh1'
_symmetry_space_group_name_H-M 'P m -3 m'
_symmetry_Int_Tables_number 221
_symmetry_space_group_name_Hall '-P 4 2 3'
_cell_length_a 4.727
_cell_length_b 4.727
_cell_length_c 4.727
_cell_angle_alpha 90.00
_cell_angle_beta 90.00
_cell_angle_gamma 90.00
loop_
_atom_site_label
_atom_site_type_symbol
_atom_site_fract_x
_atom_site_fract_y
_atom_site_fract_z
_atom_site_occupancy
Sr1 Sr 0.000 0.000 0.000 1
Li1 Li 0.000 0.000 0.500 1
Rh1 Rh 0.500 0.500 0.500 1

***

[6]
# PBE Sr3LiRh8, relaxed
# Calculated formation energy, kJ/mol of atoms: -17.1
# Total DFT energy (no corrections), eV/atom: -5.659
data_Sr3LiRh8
_chemical_formula_sum 'Sr9 Li3 Rh24'
_symmetry_space_group_name_H-M 'R 3 m'
_symmetry_Int_Tables_number 160
_symmetry_space_group_name_Hall 'R 3 -2"'
_cell_length_a 5.4189
_cell_length_b 5.4189
_cell_length_c 26.4097
_cell_angle_alpha 90.00
_cell_angle_beta 90.00
_cell_angle_gamma 120.00
loop_
_atom_site_label
_atom_site_type_symbol
_atom_site_fract_x
_atom_site_fract_y
_atom_site_fract_z
_atom_site_occupancy
Sr1 Sr 0.0000 0.0000 0.0000 1
Sr2 Sr 0.0000 0.0000 0.1274 1
Sr3 Sr 0.0000 0.0000 0.6207 1
Li1 Li 0.0000 0.0000 0.4985 1
Rh1 Rh 0.0000 0.0000 0.3125 1
Rh2 Rh 0.0000 0.0000 0.8129 1
Rh3 Rh 0.0071 0.5036 0.0654 1
Rh4 Rh 0.1690 0.3380 0.8934 1

***

[7]
# PBE SrLi3Rh, relaxed
# Calculated formation energy, kJ/mol of atoms: -8.0
# Total DFT energy (no corrections), eV/atom: -3.038
data_SrLi3Rh
_chemical_formula_sum 'Sr2 Li6 Rh2'
_symmetry_space_group_name_H-M 'P 1 21/m 1'
_symmetry_Int_Tables_number 11
_symmetry_space_group_name_Hall '-P 2yb'
_cell_length_a 5.703
_cell_length_b 5.769
_cell_length_c 7.178
_cell_angle_alpha 90.00
_cell_angle_beta 112.00
_cell_angle_gamma 90.00
loop_
_atom_site_label
_atom_site_type_symbol
_atom_site_fract_x
_atom_site_fract_y
_atom_site_fract_z
_atom_site_occupancy
Sr1 Sr 0.193 0.250 0.126 1
Li1 Li 0.233 0.008 0.698 1
Li2 Li 0.348 0.750 0.371 1
Rh1 Rh 0.407 0.750 0.032 1

***

[8]
# PBE Sr4LiRh2, relaxed
# Calculated formation energy, kJ/mol of atoms: -13.1
# Total DFT energy (no corrections), eV/atom: -3.471
data_Sr4LiRh2
_chemical_formula_sum 'Sr8 Li2 Rh4'
_symmetry_space_group_name_H-M 'P 1'
_symmetry_Int_Tables_number 1
_symmetry_space_group_name_Hall 'P 1'
_cell_length_a 7.711
_cell_length_b 7.713
_cell_length_c 8.690
_cell_angle_alpha 74.26
_cell_angle_beta 74.26
_cell_angle_gamma 70.49
loop_
_atom_site_label
_atom_site_type_symbol
_atom_site_fract_x
_atom_site_fract_y
_atom_site_fract_z
_atom_site_occupancy
Sr1 Sr 0.000 0.000 0.000 1
Sr2 Sr 0.002 0.001 0.468 1
Sr3 Sr 0.436 0.975 0.134 1
Sr4 Sr 0.443 0.997 0.625 1
Sr5 Sr 0.471 0.472 0.998 1
Sr6 Sr 0.478 0.478 0.495 1
Sr7 Sr 0.975 0.436 0.134 1
Sr8 Sr 0.997 0.443 0.625 1
Li1 Li 0.790 0.789 0.838 1
Li2 Li 0.794 0.794 0.340 1
Rh1 Rh 0.153 0.669 0.283 1
Rh2 Rh 0.266 0.266 0.854 1
Rh3 Rh 0.297 0.297 0.336 1
Rh4 Rh 0.669 0.153 0.283 1

***

[9]
# PBE SrLiRh2, relaxed
# Calculated formation energy, kJ/mol of atoms: 10.2
# Total DFT energy (no corrections), eV/atom: -4.469
data_SrLiRh2
_chemical_formula_sum 'Sr1 Li1 Rh2'
_symmetry_space_group_name_H-M 'P 4/m m m'
_symmetry_Int_Tables_number 123
_symmetry_space_group_name_Hall '-P 4 2'
_cell_length_a 3.315
_cell_length_b 3.315
_cell_length_c 6.650
_cell_angle_alpha 90.00
_cell_angle_beta 90.00
_cell_angle_gamma 90.00
loop_
_atom_site_label
_atom_site_type_symbol
_atom_site_fract_x
_atom_site_fract_y
_atom_site_fract_z
_atom_site_occupancy
Sr1 Sr 0.000 0.000 0.000 1
Li1 Li 0.000 0.000 0.500 1
Rh1 Rh 0.500 0.500 0.307 1

***

[10]
# PBE SrLi2Rh, relaxed
# Calculated formation energy, kJ/mol of atoms: 2.1
# Total DFT energy (no corrections), eV/atom: -3.193
data_SrLi2Rh
_chemical_formula_sum 'Sr1 Li2 Rh1'
_symmetry_space_group_name_H-M 'P 1 2/m 1'
_symmetry_Int_Tables_number 10
_symmetry_space_group_name_Hall '-P 2y'
_cell_length_a 3.485
_cell_length_b 4.704
_cell_length_c 5.312
_cell_angle_alpha 90.00
_cell_angle_beta 99.05
_cell_angle_gamma 90.00
loop_
_atom_site_label
_atom_site_type_symbol
_atom_site_fract_x
_atom_site_fract_y
_atom_site_fract_z
_atom_site_occupancy
Sr1 Sr 0.000 0.000 0.000 1
Li1 Li 0.295 0.500 0.668 1
Rh1 Rh 0.500 0.000 0.500 1

***

[11]
# PBE SrLiRh3, relaxed
# Calculated formation energy, kJ/mol of atoms: 148.3
# Total DFT energy (no corrections), eV/atom: -3.592
data_SrLiRh3
_chemical_formula_sum 'Sr1 Li1 Rh3'
_symmetry_space_group_name_H-M 'P m -3 m'
_symmetry_Int_Tables_number 221
_symmetry_space_group_name_Hall '-P 4 2 3'
_cell_length_a 5.024
_cell_length_b 5.024
_cell_length_c 5.024
_cell_angle_alpha 90.00
_cell_angle_beta 90.00
_cell_angle_gamma 90.00
loop_
_atom_site_label
_atom_site_type_symbol
_atom_site_fract_x
_atom_site_fract_y
_atom_site_fract_z
_atom_site_occupancy
Sr1 Sr 0.000 0.000 0.000 1
Li1 Li 0.500 0.500 0.500 1
Rh1 Rh 0.000 0.000 0.500 1

***

[12]
# PBE SrLiRh2, relaxed
# Calculated formation energy, kJ/mol of atoms: 3.7
# Total DFT energy (no corrections), eV/atom: -4.536
data_SrLiRh2
_chemical_formula_sum 'Sr2 Li2 Rh4'
_symmetry_space_group_name_H-M 'C 1 2/m 1'
_symmetry_Int_Tables_number 12
_symmetry_space_group_name_Hall '-C 2y'
_cell_length_a 9.059
_cell_length_b 3.045
_cell_length_c 5.460
_cell_angle_alpha 90.00
_cell_angle_beta 102.11
_cell_angle_gamma 90.00
loop_
_atom_site_label
_atom_site_type_symbol
_atom_site_fract_x
_atom_site_fract_y
_atom_site_fract_z
_atom_site_occupancy
Sr1 Sr 0.000 0.000 0.000 1
Li1 Li 0.000 0.500 0.500 1
Rh1 Rh 0.237 0.000 0.690 1

***

[13]
# PBE SrLiRh, relaxed
# Calculated formation energy, kJ/mol of atoms: -13.9
# Total DFT energy (no corrections), eV/atom: -3.793
data_SrLiRh
_chemical_formula_sum 'Sr4 Li4 Rh4'
_symmetry_space_group_name_H-M 'I m m a'
_symmetry_Int_Tables_number 74
_symmetry_space_group_name_Hall '-I 2b 2'
_cell_length_a 5.470
_cell_length_b 5.788
_cell_length_c 7.894
_cell_angle_alpha 90.00
_cell_angle_beta 90.00
_cell_angle_gamma 90.00
loop_
_atom_site_label
_atom_site_type_symbol
_atom_site_fract_x
_atom_site_fract_y
_atom_site_fract_z
_atom_site_occupancy
Sr1 Sr 0.000 0.250 0.133 1
Li1 Li 0.250 0.250 0.750 1
Rh1 Rh 0.000 0.000 0.500 1